# 1
A plane-wave DFT calculation with PBE was carried out for a relaxed structure of KMgBeSe.

Structure (CIF):
```
data_KMgBeSe
_chemical_formula_sum 'K1 Mg1 Be1 Se1'
_space_group_name_H-M_alt 'P m m 2'
_space_group_IT_number 25
_space_group_name_Hall 'P 2 -2'
_cell_length_a 3.830
_cell_length_b 5.226
_cell_length_c 5.940
_cell_angle_alpha 90.00
_cell_angle_beta 90.00
_cell_angle_gamma 90.00
loop_
_atom_site_label
_atom_site_type_symbol
_atom_site_fract_x
_atom_site_fract_y
_atom_site_fract_z
K1 K 0.000 0.000 0.000
Mg1 Mg 0.000 0.500 0.498
Be1 Be 0.500 0.500 0.185
Se1 Se 0.500 0.500 0.828
```

Computed properties:
* formation energy from raw total energies: -0.71 eV/f.u.
* VASP energy: -2.6543 eV per atom
* offset from the most stable computed form: 100.2 meV/atom

=====

# 2
A plane-wave DFT calculation with PBE was carried out for a relaxed structure of NpCrTcP2.

Structure (CIF):
```
data_NpCrTcP2
_chemical_formula_sum 'Np2 Cr2 Tc2 P4'
_space_group_name_H-M_alt 'I -4 m 2'
_space_group_IT_number 119
_space_group_name_Hall 'I -4 -2'
_cell_length_a 3.929
_cell_length_b 3.929
_cell_length_c 10.204
_cell_angle_alpha 90.00
_cell_angle_beta 90.00
_cell_angle_gamma 90.00
loop_
_atom_site_label
_atom_site_type_symbol
_atom_site_fract_x
_atom_site_fract_y
_atom_site_fract_z
Np1 Np 0.000 0.000 0.000
Cr1 Cr 0.000 0.500 0.250
Tc1 Tc 0.000 0.500 0.750
P1 P 0.000 0.000 0.381
```

Computed properties:
* energy relative to the elements: -0.561 eV/atom
* VASP energy: -9.3110 eV per atom

=====

# 3
A plane-wave DFT calculation with PBE was carried out for a relaxed structure of RbZnTc2Sb.

Structure (CIF):
```
data_RbZnTc2Sb
_chemical_formula_sum 'Rb1 Zn1 Tc2 Sb1'
_space_group_name_H-M_alt 'P 4/m m m'
_space_group_IT_number 123
_space_group_name_Hall '-P 4 2'
_cell_length_a 5.115
_cell_length_b 5.115
_cell_length_c 5.449
_cell_angle_alpha 90.00
_cell_angle_beta 90.00
_cell_angle_gamma 90.00
loop_
_atom_site_label
_atom_site_type_symbol
_atom_site_fract_x
_atom_site_fract_y
_atom_site_fract_z
Rb1 Rb 0.000 0.000 0.000
Zn1 Zn 0.500 0.500 0.000
Tc1 Tc 0.000 0.500 0.500
Sb1 Sb 0.500 0.500 0.500
```

Computed properties:
* formation energy from raw total energies: 6.56 eV/f.u.
* VASP energy: -4.1074 eV per atom

=====

# 4
A plane-wave DFT calculation with PBE was carried out for a relaxed structure of GaCuIr2.

Structure (CIF):
```
data_GaCuIr2
_chemical_formula_sum 'Ga3 Cu3 Ir6'
_space_group_name_H-M_alt 'R 3 m'
_space_group_IT_number 160
_space_group_name_Hall 'R 3 -2"'
_cell_length_a 2.8161
_cell_length_b 2.8161
_cell_length_c 24.7723
_cell_angle_alpha 90.00
_cell_angle_beta 90.00
_cell_angle_gamma 120.00
loop_
_atom_site_label
_atom_site_type_symbol
_atom_site_fract_x
_atom_site_fract_y
_atom_site_fract_z
Ga1 Ga 0.0000 0.0000 0.0000
Cu1 Cu 0.0000 0.0000 0.8331
Ir1 Ir 0.0000 0.0000 0.4146
Ir2 Ir 0.0000 0.0000 0.5856
```

Computed properties:
* energy relative to the elements: -0.070 eV/atom
* VASP energy: -6.2813 eV per atom

=====

# 5
A plane-wave DFT calculation with PBE was carried out for a relaxed structure of La2HgW.

Structure (CIF):
```
data_La2HgW
_chemical_formula_sum 'La6 Hg3 W3'
_space_group_name_H-M_alt 'R 3 m'
_space_group_IT_number 160
_space_group_name_Hall 'R 3 -2"'
_cell_length_a 3.4507
_cell_length_b 3.4507
_cell_length_c 30.9736
_cell_angle_alpha 90.00
_cell_angle_beta 90.00
_cell_angle_gamma 120.00
loop_
_atom_site_label
_atom_site_type_symbol
_atom_site_fract_x
_atom_site_fract_y
_atom_site_fract_z
La1 La 0.0000 0.0000 0.0000
La2 La 0.0000 0.0000 0.2278
Hg1 Hg 0.0000 0.0000 0.7534
W1 W 0.0000 0.0000 0.4893
```

Computed properties:
* energy relative to the elements: 0.620 eV/atom
* VASP energy: -5.1573 eV per atom

=====

# 6
A plane-wave DFT calculation with PBE was carried out for a relaxed structure of ZrScAs.

Structure (CIF):
```
data_ZrScAs
_chemical_formula_sum 'Zr2 Sc2 As2'
_space_group_name_H-M_alt 'P 4/n m m'
_space_group_IT_number 129
_cell_length_a 4.019
_cell_length_b 4.019
_cell_length_c 7.573
_cell_angle_alpha 90.00
_cell_angle_beta 90.00
_cell_angle_gamma 90.00
loop_
_space_group_symop_operation_xyz
'x,y,z'
'-x,-y,-z'
'-y+1/2,x,z'
'y+1/2,-x,-z'
'-x+1/2,-y+1/2,z'
'x+1/2,y+1/2,-z'
'y,-x+1/2,z'
'-y,x+1/2,-z'
'x+1/2,-y,-z'
'-x+1/2,y,z'
'-y,-x,-z'
'y,x,z'
'-x,y+1/2,-z'
'x,-y+1/2,z'
'y+1/2,x+1/2,-z'
'-y+1/2,-x+1/2,z'
loop_
_atom_site_label
_atom_site_type_symbol
_atom_site_fract_x
_atom_site_fract_y
_atom_site_fract_z
Zr1 Zr 0.250 0.750 0.000
Sc1 Sc 0.250 0.250 0.358
As1 As 0.250 0.250 0.724
```

Computed properties:
* energy relative to the elements: -0.930 eV/atom
* VASP energy: -7.4401 eV per atom

=====

no.,total magnetization (μB/cell)
1,0.00
2,12.61
3,3.97
4,0.00
5,2.71
6,0.00